1.
## HgHS3 (GGA-PBE)

Data for a geometry-optimized HgHS3 structure.

energy relative to the lowest polymorph listed for this composition = 7.26 eV/f.u.
calculated density = 3.62 g/cm3

a = 5.1497 Å, b = 5.1497 Å, c = 5.1497 Å
α = 90.00°, β = 90.00°, γ = 90.00°
Space group Pm-3m (No. 221)
Inequivalent atoms, fractional coordinates:
Hg1 0.0000 0.0000 0.0000 (multiplicity 1)
H1 0.5000 0.5000 0.5000 (multiplicity 1)
S1 0.0000 0.0000 0.5000 (multiplicity 3)

---

2.
## PuCu3I9 (GGA-PBE)

Data for a geometry-optimized PuCu3I9 structure.

raw formation energy = -363 meV/atom
calculated density = 4.54 g/cm3

a = 21.4714 Å, b = 9.9117 Å, c = 13.7089 Å
α = 90.00°, β = 127.81°, γ = 90.00°
Space group Cc (No. 9)
Inequivalent atoms, fractional coordinates:
Pu1 0.0000 0.2483 0.0000 (multiplicity 4)
Cu1 0.1411 0.4047 0.8347 (multiplicity 4)
Cu2 0.2466 0.0850 0.7744 (multiplicity 4)
Cu3 0.3661 0.3905 0.6720 (multiplicity 4)
I1 0.0103 0.3734 0.8066 (multiplicity 4)
I2 0.1195 0.4798 0.1483 (multiplicity 4)
I3 0.1264 0.0460 0.0798 (multiplicity 4)
I4 0.2295 0.1976 0.9230 (multiplicity 4)
I5 0.2302 0.3808 0.4544 (multiplicity 4)
I6 0.3091 0.1602 0.6711 (multiplicity 4)
I7 0.3663 0.4346 0.3108 (multiplicity 4)
I8 0.3731 0.0582 0.4411 (multiplicity 4)
I9 0.4972 0.3666 0.7033 (multiplicity 4)

---

3.
## LaPrAsS (GGA-PBE)

Data for a geometry-optimized LaPrAsS structure.

raw formation energy = -1843 meV/atom
calculated density = 5.95 g/cm3

a = 4.2516 Å, b = 4.2516 Å, c = 20.7014 Å
α = 90.00°, β = 90.00°, γ = 120.00°
Space group R3m (No. 160, hexagonal axes)
Inequivalent atoms, fractional coordinates:
La1 0.0000 0.0000 0.0000 (multiplicity 3)
Pr1 0.0000 0.0000 0.4985 (multiplicity 3)
As1 0.0000 0.0000 0.2486 (multiplicity 3)
S1 0.0000 0.0000 0.7499 (multiplicity 3)

---

4.
## SmEr7Tl4 (GGA-PBE)

Data for a geometry-optimized SmEr7Tl4 structure.

ΔE_f = -1.7 eV per formula unit
calculated density = 10.29 g/cm3

a = 6.3361 Å, b = 6.6736 Å, c = 8.4959 Å
α = 103.52°, β = 90.70°, γ = 98.53°
Space group P-1 (No. 2)
Inequivalent atoms, fractional coordinates:
Sm1 0.0000 0.0000 0.0000 (multiplicity 1)
Er1 0.1449 0.8060 0.4163 (multiplicity 2)
Er2 0.2589 0.5102 0.0580 (multiplicity 2)
Er3 0.3480 0.2987 0.3740 (multiplicity 2)
Er4 0.5000 0.0000 0.0000 (multiplicity 1)
Tl1 0.1655 0.6334 0.7272 (multiplicity 2)
Tl2 0.3542 0.1883 0.7125 (multiplicity 2)

---

5.
## KHg2Au (GGA-PBE)

Data for a geometry-optimized KHg2Au structure.

energy relative to the lowest polymorph listed for this composition = 0.33 eV/f.u.
ΔE_f = -0.7 eV per formula unit
calculated density = 8.66 g/cm3

a = 4.3415 Å, b = 4.9791 Å, c = 5.7924 Å
α = 90.00°, β = 102.72°, γ = 90.00°
Space group P2/m (No. 10)
Inequivalent atoms, fractional coordinates:
K1 0.0000 0.0000 0.0000 (multiplicity 1)
Hg1 0.3401 0.5000 0.7163 (multiplicity 2)
Au1 0.5000 0.0000 0.5000 (multiplicity 1)

---

6.
## LiGa6Ir2 (GGA-PBE)

Data for a geometry-optimized LiGa6Ir2 structure.

ΔE_f = -2.4 eV per formula unit
calculated density = 9.60 g/cm3

a = 4.9046 Å, b = 7.2155 Å, c = 9.1013 Å
α = 90.00°, β = 119.58°, γ = 90.00°
Space group P2_1/c (No. 14)
Inequivalent atoms, fractional coordinates:
Li1 0.0000 0.0000 0.0000 (multiplicity 2)
Ga1 0.0443 0.1664 0.4408 (multiplicity 4)
Ga2 0.3521 0.6845 0.4338 (multiplicity 4)
Ga3 0.3901 0.0222 0.3069 (multiplicity 4)
Ir1 0.1864 0.1193 0.7581 (multiplicity 4)

---

7.
## NaPa3Tl3Se8 (GGA-PBE)

Data for a geometry-optimized NaPa3Tl3Se8 structure.

raw formation energy = -1063 meV/atom
calculated density = 6.87 g/cm3

a = 8.3955 Å, b = 8.3955 Å, c = 23.2950 Å
α = 90.00°, β = 90.00°, γ = 120.00°
Space group R-3m (No. 166, hexagonal axes)
Inequivalent atoms, fractional coordinates:
Na1 0.0000 0.0000 0.0000 (multiplicity 3)
Pa1 0.0000 0.5000 0.0000 (multiplicity 9)
Tl1 0.0000 0.5000 0.5000 (multiplicity 9)
Se1 0.0000 0.0000 0.2643 (multiplicity 6)
Se2 0.0197 0.5099 0.2656 (multiplicity 18)

---

8.
## Ag2AsPt (GGA-PBE)

Data for a geometry-optimized Ag2AsPt structure.

ΔE_f = 0.3 eV per formula unit
calculated density = 11.63 g/cm3

a = 4.7749 Å, b = 3.0260 Å, c = 4.9829 Å
α = 90.00°, β = 105.56°, γ = 90.00°
Space group P2/m (No. 10)
Inequivalent atoms, fractional coordinates:
Ag1 0.0000 0.0000 0.0000 (multiplicity 1)
Ag2 0.5000 0.5000 0.0000 (multiplicity 1)
As1 0.0000 0.5000 0.5000 (multiplicity 1)
Pt1 0.5000 0.0000 0.5000 (multiplicity 1)

---

- Number 6 is which compound?
  LiGa6Ir2

---

- Among the records above, which one has the highest calculated density?
  Ag2AsPt